{"formula": "VCr2O4", "functional": "PBE+U", "state": "optimized geometry", "relative_energy_mev_per_atom": 0.0, "spacegroup": "I4_1md", "crystal_system": "tetragonal", "lattice": [[-0.6947, 5.2699, 2.8272], [-4.3750, -4.3974, 0.3021], [0.7778, -4.9292, 3.3701]], "species": ["V", "V", "Cr", "Cr", "Cr", "Cr", "O", "O", "O", "O", "O", "O", "O", "O"], "frac_coords": [[0.8832, 0.6332, 0.6168], [0.1333, 0.3833, 0.3667], [0.5001, 0.4983, 0.9998], [0.5002, 0.0020, 0.9999], [0.5021, 0.0002, 0.5017], [0.9983, 0.0001, 0.9979], [0.2733, 0.2445, 0.7845], [0.7443, 0.2155, 0.7556], [0.2512, 0.2121, 0.2486], [0.7155, 0.2444, 0.2267], [0.2904, 0.7514, 0.7878], [0.7444, 0.7733, 0.7556], [0.2514, 0.7904, 0.2488], [0.7122, 0.7512, 0.2096]]}